1.
16
Lattice="6.8359 0.0000 0.0000 0.0000 6.8359 0.0000 0.0000 0.0000 6.8359" Properties=species:S:1:pos:R:3 comment="Zr2AgAu PBE optimized geometry" dft_energy_ev_per_cell=-93.32 dos_at_fermi_per_ev_atom=0.951 pbc="T T T"
Zr 0.0000 0.0000 0.0000
Zr 0.0000 3.4179 3.4179
Zr 1.7090 1.7090 1.7090
Zr 1.7090 5.1269 5.1269
Zr 3.4179 0.0000 3.4179
Zr 3.4179 3.4179 0.0000
Zr 5.1269 1.7090 5.1269
Zr 5.1269 5.1269 1.7090
Ag 0.0000 0.0000 3.4179
Ag 0.0000 3.4179 0.0000
Ag 3.4179 0.0000 0.0000
Ag 3.4179 3.4179 3.4179
Au 1.7090 1.7090 5.1269
Au 1.7090 5.1269 1.7090
Au 5.1269 1.7090 1.7090
Au 5.1269 5.1269 5.1269

2.
5
Lattice="4.3258 0.0000 0.0000 0.0000 4.3258 0.0000 0.0000 0.0000 4.3258" Properties=species:S:1:pos:R:3 comment="Cu3NiMo PBE optimized geometry" dft_energy_ev_per_cell=-23.06 relative_energy_mev_per_atom=0 dos_at_fermi_per_ev_atom=0.651 pbc="T T T"
Cu 0.0000 0.0000 2.1629
Cu 0.0000 2.1629 0.0000
Cu 2.1629 0.0000 0.0000
Ni 0.0000 0.0000 0.0000
Mo 2.1629 2.1629 2.1629

3.
4
Lattice="4.7567 0.0000 0.0000 0.0000 4.7567 0.0000 0.0000 0.0000 6.7457" Properties=species:S:1:pos:R:3 comment="BaAs PBE optimized geometry" dft_energy_ev_per_cell=-16.11 dos_at_fermi_per_ev_atom=1.751 pbc="T T T"
Ba 0.0000 0.0000 0.0000
Ba 2.3783 2.3783 3.3728
As 0.0000 0.0000 3.3728
As 2.3783 2.3783 0.0000

4.
18
Lattice="-4.9442 4.9942 5.0837 4.9442 -4.9942 5.0837 4.9442 4.9942 -5.0837" Properties=species:S:1:pos:R:3 comment="Pr12TlCo5 PBE optimized geometry" dft_energy_ev_per_cell=-97.06 dos_at_fermi_per_ev_atom=0.878 pbc="T T T"
Pr 4.9442 3.0956 -3.0719
Pr 2.9733 1.8517 0.0000
Pr 6.9152 1.8517 0.0000
Pr 1.9080 4.9942 -1.8715
Pr 3.0363 0.0000 3.2121
Pr 0.0000 1.8986 2.0118
Pr 4.9442 3.0956 3.0719
Pr 1.9080 4.9942 1.8715
Pr 3.0363 0.0000 6.9552
Pr -1.9710 3.1424 5.0837
Pr 1.9710 3.1424 5.0837
Pr 0.0000 1.8986 8.1555
Tl 0.0000 0.0000 5.0837
Co 0.0000 0.0000 0.0000
Co 4.9442 0.0000 1.1332
Co 0.0000 3.8149 0.0000
Co 0.0000 6.1734 0.0000
Co 0.0000 4.9942 3.9504

5.
6
Lattice="0.0000 3.7838 3.7838 3.7838 0.0000 3.7838 3.7838 3.7838 0.0000" Properties=species:S:1:pos:R:3 comment="BaOs4W PBE optimized geometry" dft_energy_ev_per_cell=-53.69 dos_at_fermi_per_ev_atom=0.921 pbc="T T T"
Ba 0.0000 0.0000 0.0000
Os 4.7270 2.8407 2.8407
Os 2.8407 4.7270 2.8407
Os 2.8407 2.8407 4.7270
Os 4.7270 4.7270 4.7270
W 1.8919 1.8919 1.8919

6.
12
Lattice="6.2030 0.0000 0.0000 -3.1015 5.3719 0.0000 0.0000 0.0000 8.1954" Properties=species:S:1:pos:R:3 comment="TbTc2HgO8 PBE optimized geometry" dft_energy_ev_per_cell=-85.85 dos_at_fermi_per_ev_atom=0.464 formation_energy_uncorrected_ev_per_atom=-1.710 pbc="T T T"
Tb 0.0000 0.0000 0.0000
Tc 0.0000 3.5813 1.8306
Tc 3.1015 1.7906 6.3647
Hg 0.0000 0.0000 4.0977
O -0.0113 1.9111 1.2240
O -1.4408 4.4262 1.2240
O 0.0000 3.5813 3.5463
O 1.6494 0.9654 6.9713
O 1.4520 4.4066 1.2240
O 3.1015 1.7906 4.6491
O 4.5422 0.9458 6.9713
O 3.1128 3.4608 6.9713

Asked for volume across the records above, the calculation gives 19.965; 16.190; 38.157; 27.895; 18.058; 22.757 Å³/atom in order.